This record from Alexandria via LeMat-Bulk describes crystalline LaBeSe2N at its relaxed geometry. The functional is PBE.

Structure (extended XYZ):
```
5
Lattice="5.0416 0.0000 0.0000 0.0000 5.0416 0.0000 0.0000 0.0000 3.5699" Properties=species:S:1:pos:R:3 pbc="T T T"
N 0.0000 0.0000 1.7849
La 2.5208 2.5208 1.7849
Be 0.0000 0.0000 0.0000
Se 2.5208 0.0000 0.0000
Se 0.0000 2.5208 0.0000
```

Computed properties:
* ΔE to the lowest computed polymorph: 0 meV per atom
* calculated total energy: -26.5 eV per cell

***

This record from Alexandria via LeMat-Bulk describes crystalline LaBeSeN2 at its relaxed geometry. The functional is PBE.

Structure (extended XYZ):
```
5
Lattice="-2.1619 -3.3876 -0.5735 2.9870 -1.5183 -2.2916 1.8079 -1.7488 3.5152" Properties=species:S:1:pos:R:3 pbc="T T T"
Se 0.9039 -0.8744 1.7576
N -1.0810 -1.6938 -0.2867
La 1.3165 -3.3274 0.3251
Be 0.0000 0.0000 0.0000
N 1.4935 -0.7592 -1.1458
```

Computed properties:
* ΔE to the lowest computed polymorph: 0 meV per atom
* calculated total energy: -28.2 eV per cell

***

This record from Alexandria via LeMat-Bulk describes crystalline LaBeSe2N at its relaxed geometry. The functional is PBE.

Structure (extended XYZ):
```
5
Lattice="-5.1583 -0.1854 2.8031 2.8088 -0.2327 5.1533 -0.0373 4.2389 0.2118" Properties=species:S:1:pos:R:3 pbc="T T T"
Se 1.4044 -0.1164 2.5767
Be -1.1934 1.9104 4.0841
N -0.0186 2.1194 0.1059
La 0.0000 0.0000 0.0000
Se -2.5792 -0.0927 1.4016
```

Computed properties:
* ΔE to the lowest computed polymorph: 1234 meV per atom
* calculated total energy: -20.3 eV per cell

***

This record from Alexandria via LeMat-Bulk describes crystalline LaBe2SiN at its relaxed geometry. The functional is PBE.

Structure (extended XYZ):
```
10
Lattice="3.8655 0.0000 0.0000 -1.9328 5.4556 0.0000 0.0000 0.0000 6.6163" Properties=species:S:1:pos:R:3 pbc="T T T"
Si 0.0000 3.0849 1.6541
Si 1.9328 2.3707 4.9622
N 0.0000 0.0000 0.0000
La 0.0000 4.7543 4.9622
La 1.9328 0.7014 1.6541
Be 1.9328 3.9164 0.5009
Be 0.0000 1.5392 3.8090
N 0.0000 0.0000 3.3081
Be 0.0000 1.5392 6.1154
Be 1.9328 3.9164 2.8073
```

Computed properties:
* calculated total energy: -59.4 eV per cell

***

This record from Alexandria via LeMat-Bulk describes crystalline La2BeSnN at its relaxed geometry. The functional is PBE.

Structure (extended XYZ):
```
5
Lattice="-0.3531 4.1356 -3.7822 -3.7008 -3.0179 -2.9544 -2.5340 1.3890 1.7553" Properties=species:S:1:pos:R:3 pbc="T T T"
Be -1.2670 0.6945 0.8777
Sn -3.2939 1.2533 -2.4907
La -1.8504 -1.5090 -1.4772
La -0.1765 2.0678 -1.8911
N 0.0000 0.0000 0.0000
```

Computed properties:
* calculated total energy: -29.5 eV per cell

***

This record from Alexandria via LeMat-Bulk describes crystalline LaTbBeN2 at its relaxed geometry. The functional is PBE.

Structure (extended XYZ):
```
10
Lattice="-2.1247 2.5321 3.7708 -0.0767 -4.4647 2.9548 6.0216 1.4870 2.3944" Properties=species:S:1:pos:R:3 pbc="T T T"
N 2.4631 -2.2492 4.4200
N 4.3190 -0.1293 7.6669
La -0.6539 0.6670 5.8402
Tb 0.4443 1.6363 2.4818
Be 0.0000 0.0000 0.0000
Be 3.0108 0.7435 1.1972
N -0.4988 -0.3163 1.4531
N 1.3571 1.8036 4.7001
La 4.4741 -1.1127 3.2798
Tb 3.4526 2.3828 3.6835
```

Computed properties:
* calculated total energy: -68.7 eV per cell

***

This record from Alexandria via LeMat-Bulk describes crystalline La3Be2TcN6 at its relaxed geometry. The functional is PBE.

Structure (extended XYZ):
```
12
Lattice="5.5770 0.0000 0.0000 -2.7885 4.8298 0.0000 0.0000 0.0000 6.2152" Properties=species:S:1:pos:R:3 pbc="T T T"
N 1.3536 4.0014 1.9008
Be 2.7885 1.6099 4.7206
La 2.7885 1.6099 2.1423
N 0.0000 1.6569 1.9008
N 4.1421 0.8285 4.3144
La 0.0000 0.0000 0.0000
N -1.3536 4.0014 1.9008
La 0.0000 3.2199 4.0728
N 2.7885 3.1729 4.3144
N 1.4349 0.8285 4.3144
Be 0.0000 3.2199 1.4945
Tc 0.0000 0.0000 3.1076
```

Computed properties:
* calculated total energy: -92.8 eV per cell

***

This record from Alexandria via LeMat-Bulk describes crystalline La2BeTeN at its relaxed geometry. The functional is PBE.

Structure (extended XYZ):
```
5
Lattice="-3.8499 -1.6889 -3.2544 0.3156 -3.9375 1.6701 -3.6456 1.2598 3.6590" Properties=species:S:1:pos:R:3 pbc="T T T"
La -1.9250 -0.8444 -1.6272
N -3.5900 -2.1833 1.0373
Te 0.1578 -1.9688 0.8350
Be 0.0000 0.0000 0.0000
La -1.8228 0.6299 1.8295
```

Computed properties:
* calculated total energy: -23.2 eV per cell

***

Number 1: formation energy (no corrections) -247 kJ/mol of formula units. Number 2: formation energy (no corrections) 60 kJ/mol of formula units. Number 3: formation energy (no corrections) 349 kJ/mol of formula units. Number 4: formation energy (no corrections) -346 kJ/mol of formula units. Number 5: formation energy (no corrections) -351 kJ/mol of formula units. Number 6: formation energy (no corrections) -427 kJ/mol of formula units. Number 7: formation energy (no corrections) -993 kJ/mol of formula units. Number 8: formation energy (no corrections) 181 kJ/mol of formula units.